[1]
Density functional theory data (PBE) for crystalline Ba8PdPt3I4 at its relaxed geometry.

Values from the calculation:
* N(E_F): 0.658 states/eV per atom
* volume: 40.59 A^3/atom
* spin magnetization: 0.00 μB/f.u.
* E: -3.9159 eV/atom
* space-group type: C2/m
* crystal system: monoclinic
* raw formation energy: -1110 meV per atom

Cell lengths 9.2734, 10.2366, 9.2731 Å; angles 116.98, 120.00, 90.00 degrees
Closest atoms and distances in Å follow each position.
Fractional coordinates of all 16 atoms:
Pd: 0.0000 0.5000 0.0000  6 Ba 3.22
Ba: 0.2665 0.2998 0.5330  3 Pt 3.20
Ba: 0.7335 0.7002 0.4670  3 Pt 3.20
Ba: 0.2694 0.2990 0.0340  2 Pt 3.19, 1 Pd 3.22
Ba: 0.2355 0.7009 0.4709  2 Pt 3.19, 1 Pd 3.22
Ba: 0.2354 0.7010 0.9660  2 Pt 3.19, 1 Pd 3.22
Ba: 0.7645 0.2991 0.5291  2 Pt 3.19, 1 Pd 3.22
Ba: 0.7306 0.7010 0.9660  2 Pt 3.19, 1 Pd 3.22
Ba: 0.7646 0.2990 0.0340  2 Pt 3.19, 1 Pd 3.22
Pt: 0.5000 0.5000 0.5000  6 Ba 3.19-3.20
Pt: 0.5000 0.5000 0.0000  6 Ba 3.19-3.20
Pt: 0.0000 0.5000 0.5000  6 Ba 3.19-3.20
I: 0.0000 0.0000 0.5000  6 Ba 3.74-3.75
I: 0.5000 0.0000 0.0000  6 Ba 3.71-3.72
I: 0.5000 0.0000 0.5000  6 Ba 3.74-3.75
I: 0.0000 0.0000 0.0000  6 Ba 3.74-3.75

***

[2]
Density functional theory data (PBE) for crystalline TbNdDyTm at its relaxed geometry.

Values from the calculation:
* energy above the lowest structure with this stoichiometry: 0 meV per atom
* N(E_F): 1.929 states/eV per atom
* volume: 32.50 A^3/atom
* spin magnetization: 0.00 μB/f.u.
* E: -4.4941 eV/atom
* space-group type: F-43m
* crystal system: cubic
* ΔH_f (0 K): 0.124 eV per atom

Cell lengths 5.6861, 5.6861, 5.6861 Å; angles 60.00, 60.00, 60.00 degrees
Closest atoms and distances in Å follow each position.
Fractional coordinates of all 4 atoms:
Tb: 0.7500 0.7500 0.7500  4 Tm 3.48, 4 Dy 3.48
Dy: 0.5000 0.5000 0.5000  4 Tb 3.48, 4 Nd 3.48
Tm: 0.0000 0.0000 0.0000  4 Tb 3.48, 4 Nd 3.48
Nd: 0.2500 0.2500 0.2500  4 Dy 3.48, 4 Tm 3.48

***

[3]
Density functional theory data (PBE) for crystalline AgH6N2 at its relaxed geometry.

Values from the calculation:
* volume: 10.13 A^3/atom
* spin magnetization: 0.00 μB/f.u.
* E: -4.5854 eV/atom
* space-group type: C2/c
* crystal system: monoclinic

Cell lengths 7.1930, 7.1930, 4.3963 Å; angles 66.74, 66.74, 65.12 degrees
Closest atoms and distances in Å follow each position.
Fractional coordinates of all 18 atoms:
N: 0.5123 0.2058 0.1388  3 H 1.03
N: 0.2058 0.5123 0.6388  3 H 1.03
N: 0.4877 0.7942 0.8612  3 H 1.03
N: 0.7942 0.4877 0.3612  3 H 1.03
H: 0.6166 0.1227 0.9620  1 N 1.03
H: 0.4266 0.3485 0.0064  1 N 1.03
H: 0.5941 0.8759 0.6996  1 N 1.03
H: 0.8773 0.3834 0.5380  1 N 1.03
H: 0.8759 0.5941 0.1996  1 N 1.03
H: 0.1227 0.6166 0.4620  1 N 1.03
H: 0.1241 0.4059 0.8004  1 N 1.03
H: 0.4059 0.1241 0.3004  1 N 1.03
H: 0.6515 0.5734 0.4936  1 N 1.03
H: 0.5734 0.6515 0.9936  1 N 1.03
H: 0.3485 0.4266 0.5064  1 N 1.03
H: 0.3834 0.8773 0.0380  1 N 1.03
Ag: 0.8916 0.1084 0.2500  6 H 2.69-2.99, 2 N 2.71, 2 Ag 2.77
Ag: 0.1084 0.8916 0.7500  6 H 2.69-2.99, 2 N 2.71, 2 Ag 2.77

***

[4]
Density functional theory data (PBE) for crystalline CuAsI3 at its relaxed geometry.

Values from the calculation:
* energy above the lowest structure with this stoichiometry: 534 meV per atom
* N(E_F): 0.406 states/eV per atom
* volume: 36.97 A^3/atom
* spin magnetization: 0.00 μB/f.u.
* E: -2.1856 eV/atom
* space-group type: Pm-3m
* crystal system: cubic
* raw formation energy: 494 meV per atom

Cell lengths 5.6963, 5.6963, 5.6963 Å; angles 90.00, 90.00, 90.00 degrees
Closest atoms and distances in Å follow each position.
Fractional coordinates of all 5 atoms:
I: 0.0000 0.0000 0.5000  2 As 2.85
I: 0.0000 0.5000 0.0000  2 As 2.85
I: 0.5000 0.0000 0.0000  2 As 2.85
As: 0.0000 0.0000 0.0000  6 I 2.85
Cu: 0.5000 0.5000 0.5000  12 I 4.03